This record from the Alexandria database describes an optimized crystal structure of RbBAsN2. The functional is PBE.

Values from the calculation:
The calculation puts the total energy at -3.541 eV per atom. Its spin magnetization is 0.08 μB per atom. The raw formation energy comes out at 2.248 eV per atom.

Unit cell a=3.7744 b=4.8838 c=3.7744 alpha=90.00 beta=90.00 gamma=90.00
Each line ends with the local moment (μB).
Sites, in units of the cell vectors:
N  0.0000  0.0000  0.5000  0.13
N  0.5000  0.0000  0.0000  0.19
Rb  0.0000  0.5000  0.0000  -0.01
As  0.5000  0.5000  0.5000  -0.02
B  0.0000  0.0000  0.0000  -0.01



This record from the Alexandria database describes an optimized crystal structure of Ta2BeHRu. The functional is PBE.

Values from the calculation:
The calculation puts the total energy at -8.062 eV per atom. For the polymorph energy (0 for the lowest one), the calculation gives 0 meV/atom. Its spin magnetization is 0.00 μB per atom.

Unit cell a=4.0942 b=4.0942 c=3.6870 alpha=90.00 beta=90.00 gamma=90.00
Sites, in units of the cell vectors:
Be  0.0000  0.0000  0.5000
Ru  0.5000  0.5000  0.5000
H  0.0000  0.0000  0.0000
Ta  0.0000  0.5000  0.0000
Ta  0.5000  0.0000  0.0000



This record from the Alexandria database describes an optimized crystal structure of RbTaHgI6. The functional is PBE.

Values from the calculation:
The calculation puts the total energy at -3.087 eV per atom. Its spin magnetization is 0.00 μB per atom. The raw formation energy comes out at -0.596 eV per atom.

Unit cell a=8.9723 b=8.9723 c=13.5257 alpha=90.00 beta=90.00 gamma=120.00
Sites, in units of the cell vectors:
I  0.3378  0.4178  0.8698
I  0.6622  0.0799  0.3698
I  0.4178  0.0799  0.1302
I  0.9201  0.3378  0.1302
I  0.0799  0.6622  0.8698
I  0.5822  0.6622  0.6302
I  0.5822  0.9201  0.8698
I  0.0799  0.4178  0.6302
I  0.6622  0.5822  0.1302
I  0.4178  0.3378  0.3698
I  0.3378  0.9201  0.6302
I  0.9201  0.5822  0.3698
Rb  0.3333  0.6667  0.2500
Rb  0.6667  0.3333  0.7500
Hg  0.0000  0.0000  0.0000
Hg  0.0000  0.0000  0.5000
Ta  0.3333  0.6667  0.7500
Ta  0.6667  0.3333  0.2500



This record from the Alexandria database describes an optimized crystal structure of K5RbAu2. The functional is PBE.

Values from the calculation:
The calculation puts the total energy at -1.771 eV per atom. The calculation puts the formation energy at -3.33 kcal/mol of atoms. Its spin magnetization is 0.00 μB per atom.

Unit cell a=5.5046 b=9.2915 c=9.2915 alpha=66.19 beta=72.77 gamma=72.77
Sites, in units of the cell vectors:
K  0.3359  0.4655  0.8627
K  0.6641  0.1373  0.5345
K  0.6641  0.5345  0.1373
K  0.3359  0.8627  0.4655
K  0.0000  0.5000  0.5000
Au  0.7669  0.7331  0.7331
Au  0.2331  0.2669  0.2669
Rb  0.0000  0.0000  0.0000



This record from the Alexandria database describes an optimized crystal structure of Tb3Ho2Er8. The functional is PBE.

Values from the calculation:
The calculation puts the total energy at -4.334 eV per atom. For the polymorph energy (0 for the lowest one), the calculation gives 226 meV/atom. The calculation puts the formation energy at 5.70 kcal/mol of atoms. Its spin magnetization is 0.00 μB per atom.

Unit cell a=5.5457 b=7.5542 c=10.6977 alpha=110.68 beta=90.03 gamma=90.00
Sites, in units of the cell vectors:
Tb  0.0000  0.2866  0.0000
Tb  0.5000  0.0000  0.0000
Tb  0.0000  0.7134  0.0000
Er  0.5003  0.8204  0.2180
Er  0.5003  0.3977  0.2180
Er  0.9997  0.1334  0.2668
Er  0.0003  0.8666  0.7332
Er  0.4997  0.1796  0.7820
Er  0.9991  0.3315  0.6631
Er  0.4997  0.6023  0.7820
Er  0.0009  0.6685  0.3369
Ho  0.5011  0.7588  0.5175
Ho  0.4989  0.2412  0.4825



This record from the Alexandria database describes an optimized crystal structure of ZrTl2I2Br4. The functional is PBE.

Values from the calculation:
The calculation puts the total energy at -3.617 eV per atom. Its spin magnetization is 0.00 μB per atom. The raw formation energy comes out at -1.053 eV per atom.

Unit cell a=7.9806 b=7.8058 c=7.8058 alpha=58.39 beta=61.49 gamma=61.49
Sites, in units of the cell vectors:
I  0.1679  0.2425  0.2425
I  0.8321  0.7575  0.7575
Tl  0.7151  0.2494  0.2494
Tl  0.2849  0.7506  0.7506
Br  0.3200  0.1954  0.7064
Br  0.6800  0.8046  0.2936
Br  0.3200  0.7064  0.1954
Br  0.6800  0.2936  0.8046
Zr  0.5000  0.0000  0.0000



This record from the Alexandria database describes an optimized crystal structure of Ca3PPd. The functional is PBE.

Values from the calculation:
The calculation puts the total energy at -4.078 eV per atom. For the polymorph energy (0 for the lowest one), the calculation gives 0 meV/atom. The calculation puts the formation energy at -17.45 kcal/mol of atoms. Its spin magnetization is 0.00 μB per atom.

Unit cell a=7.9842 b=8.0592 c=8.0592 alpha=88.92 beta=89.11 gamma=89.11
Sites, in units of the cell vectors:
Pd  0.2500  0.7279  0.2721
Pd  0.7500  0.6380  0.3620
Pd  0.7500  0.2721  0.7279
Pd  0.2500  0.3620  0.6380
P  0.8637  0.7546  0.8743
P  0.1363  0.2454  0.1257
P  0.3637  0.8743  0.7546
P  0.6363  0.1257  0.2454
Ca  0.5714  0.5819  0.6881
Ca  0.4429  0.1920  0.9238
Ca  0.6910  0.9580  0.5866
Ca  0.9429  0.9238  0.1920
Ca  0.8090  0.4134  0.0420
Ca  0.1910  0.5866  0.9580
Ca  0.9286  0.3119  0.4181
Ca  0.0571  0.0762  0.8080
Ca  0.4286  0.4181  0.3119
Ca  0.5571  0.8080  0.0762
Ca  0.0714  0.6881  0.5819
Ca  0.3090  0.0420  0.4134



This record from the Alexandria database describes an optimized crystal structure of K2RbLi. The functional is PBE.

Values from the calculation:
The calculation puts the total energy at -1.173 eV per atom. For the polymorph energy (0 for the lowest one), the calculation gives 0 meV/atom. The calculation puts the formation energy at 2.23 kcal/mol of atoms. Its spin magnetization is 0.00 μB per atom.

Unit cell a=4.6003 b=4.6003 c=11.8059 alpha=90.00 beta=90.00 gamma=90.00
Sites, in units of the cell vectors:
Li  0.5000  0.5000  0.0000
K  0.0000  0.0000  0.8112
K  0.0000  0.0000  0.1888
Rb  0.5000  0.5000  0.5000



This record from the Alexandria database describes an optimized crystal structure of FeRuBr2. The functional is PBE.

Values from the calculation:
The calculation puts the total energy at -4.852 eV per atom. For the polymorph energy (0 for the lowest one), the calculation gives 274 meV/atom. Its spin magnetization is 0.55 μB per atom. The raw formation energy comes out at 0.419 eV per atom.

Unit cell a=3.1165 b=3.1165 c=8.4859 alpha=90.00 beta=90.00 gamma=90.00
Each line ends with the local moment (μB).
Sites, in units of the cell vectors:
Br  0.0000  0.0000  0.9084  -0.23
Br  0.5000  0.5000  0.3437  0.13
Ru  0.5000  0.5000  0.7163  -0.66
Fe  0.0000  0.0000  0.5316  2.97



This record from the Alexandria database describes an optimized crystal structure of Rb3Th3PdSe8. The functional is PBE.

Values from the calculation:
The calculation puts the total energy at -5.264 eV per atom. Its spin magnetization is 0.00 μB per atom. The raw formation energy comes out at -1.382 eV per atom.

Unit cell a=8.7411 b=8.4835 c=9.3616 alpha=115.54 beta=90.00 gamma=121.01
Sites, in units of the cell vectors:
Rb  0.0000  0.5000  0.0000
Rb  0.0000  0.0000  0.0000
Rb  0.5000  0.5000  0.0000
Th  0.5000  0.0000  0.5000
Th  0.5000  0.5000  0.5000
Th  0.0000  0.5000  0.5000
Pd  0.0000  0.0000  0.5000
Se  0.2644  0.5289  0.2947
Se  0.2083  0.4167  0.6717
Se  0.7356  0.4711  0.7053
Se  0.7084  0.9537  0.7012
Se  0.2454  0.9537  0.7012
Se  0.7917  0.5833  0.3283
Se  0.2916  0.0463  0.2988
Se  0.7546  0.0463  0.2988



This record from the Alexandria database describes an optimized crystal structure of Tb6CeHo4. The functional is PBE.

Values from the calculation:
The calculation puts the total energy at -4.582 eV per atom. For the polymorph energy (0 for the lowest one), the calculation gives 0 meV/atom. The calculation puts the formation energy at 3.41 kcal/mol of atoms. Its spin magnetization is 0.09 μB per atom.

Unit cell a=5.7321 b=5.5679 c=25.6407 alpha=90.00 beta=90.00 gamma=120.98
Each line ends with the local moment (μB).
Sites, in units of the cell vectors:
Tb  0.1293  0.2587  0.1808  0.00
Tb  0.1988  0.3976  0.8983  0.02
Tb  0.8012  0.6024  0.1017  0.02
Tb  0.5000  0.0000  0.0000  0.01
Tb  0.8707  0.7413  0.6808  0.00
Tb  0.1988  0.3976  0.6017  0.02
Tb  0.1293  0.2587  0.3192  0.00
Tb  0.8012  0.6024  0.3983  0.02
Tb  0.5351  0.0703  0.7500  0.05
Tb  0.4649  0.9297  0.2500  0.05
Tb  0.8707  0.7413  0.8192  0.00
Tb  0.5000  0.0000  0.5000  0.01
Ho  0.5411  0.0823  0.6221  0.01
Ho  0.5411  0.0823  0.8779  0.01
Ho  0.1530  0.3060  0.0420  0.01
Ho  0.4589  0.9177  0.3779  0.01
Ho  0.8470  0.6940  0.5420  0.01
Ho  0.8470  0.6940  0.9580  0.01
Ho  0.1530  0.3060  0.4580  0.01
Ho  0.4589  0.9177  0.1221  0.01
Ce  0.7996  0.5992  0.2500  0.67
Ce  0.2004  0.4008  0.7500  0.67



This record from the Alexandria database describes an optimized crystal structure of YTlTc4. The functional is PBE.

Values from the calculation:
The calculation puts the total energy at -8.218 eV per atom. The calculation puts the formation energy at 3.80 kcal/mol of atoms. Its spin magnetization is 0.00 μB per atom.

Unit cell a=5.3462 b=5.3462 c=5.3462 alpha=60.00 beta=60.00 gamma=60.00
Sites, in units of the cell vectors:
Tl  0.7500  0.7500  0.7500
Tc  0.8719  0.3760  0.3760
Tc  0.3760  0.8719  0.3760
Tc  0.3760  0.3760  0.3760
Tc  0.3760  0.3760  0.8719
Y  0.0000  0.0000  0.0000



This record from the Alexandria database describes an optimized crystal structure of Li2PmDy2Pb2. The functional is PBE.

Values from the calculation:
The calculation puts the total energy at -3.927 eV per atom. The calculation puts the formation energy at -7.54 kcal/mol of atoms. Its spin magnetization is 0.00 μB per atom.

Unit cell a=4.8638 b=4.8638 c=9.4316 alpha=75.06 beta=75.06 gamma=60.00
Sites, in units of the cell vectors:
Dy  0.8700  0.8700  0.3901
Dy  0.1300  0.1300  0.6099
Pb  0.7380  0.7380  0.7860
Pb  0.2620  0.2620  0.2140
Li  0.5908  0.5908  0.2275
Li  0.4092  0.4092  0.7725
Pm  0.0000  0.0000  0.0000



This record from the Alexandria database describes an optimized crystal structure of MnNbMoOs2. The functional is PBE.

Values from the calculation:
The calculation puts the total energy at -9.346 eV per atom. The calculation puts the formation energy at 26.75 kcal/mol of atoms. Its spin magnetization is 0.00 μB per atom.

Unit cell a=4.4041 b=4.4041 c=4.4280 alpha=90.00 beta=90.00 gamma=90.00
Sites, in units of the cell vectors:
Nb  0.5000  0.5000  0.5000
Mn  0.0000  0.0000  0.0000
Os  0.5000  0.0000  0.0000
Os  0.0000  0.5000  0.0000
Mo  0.0000  0.0000  0.5000



This record from the Alexandria database describes an optimized crystal structure of PbCl. The functional is PBE.

Values from the calculation:
The calculation puts the total energy at -3.358 eV per atom. Its spin magnetization is 0.00 μB per atom. The raw formation energy comes out at -0.580 eV per atom.

Unit cell a=11.0070 b=11.0070 c=5.4664 alpha=90.00 beta=90.00 gamma=90.00
Sites, in units of the cell vectors:
Pb  0.3800  0.9013  0.5000
Pb  0.9013  0.6200  0.5000
Pb  0.5987  0.8800  0.0000
Pb  0.0987  0.3800  0.5000
Pb  0.1200  0.5987  0.0000
Pb  0.8800  0.4013  0.0000
Pb  0.4013  0.1200  0.0000
Pb  0.6200  0.0987  0.5000
Cl  0.7558  0.8932  0.5000
Cl  0.1068  0.7558  0.5000
Cl  0.2442  0.1068  0.5000
Cl  0.2558  0.3932  0.0000
Cl  0.7442  0.6068  0.0000
Cl  0.6068  0.2558  0.0000
Cl  0.8932  0.2442  0.5000
Cl  0.3932  0.7442  0.0000



This record from the Alexandria database describes an optimized crystal structure of TlSi2Pb. The functional is PBE.

Values from the calculation:
The calculation puts the total energy at -4.035 eV per atom. For the polymorph energy (0 for the lowest one), the calculation gives 0 meV/atom. Its spin magnetization is 0.00 μB per atom. The raw formation energy comes out at 0.195 eV per atom.

Unit cell a=3.7532 b=3.7532 c=8.4294 alpha=78.50 beta=78.50 gamma=60.12
Sites, in units of the cell vectors:
Tl  0.4855  0.4855  0.5443
Si  0.0283  0.0283  0.9317
Si  0.7275  0.7275  0.8196
Pb  0.2588  0.2588  0.2044



This record from the Alexandria database describes an optimized crystal structure of KSrW4. The functional is PBE.

Values from the calculation:
The calculation puts the total energy at -7.827 eV per atom. The calculation puts the formation energy at 29.33 kcal/mol of atoms. Its spin magnetization is 0.00 μB per atom.

Unit cell a=5.6700 b=5.6700 c=5.6700 alpha=60.00 beta=60.00 gamma=60.00
Sites, in units of the cell vectors:
W  0.3763  0.8711  0.3763
W  0.3763  0.3763  0.3763
W  0.3763  0.3763  0.8711
W  0.8711  0.3763  0.3763
Sr  0.0000  0.0000  0.0000
K  0.7500  0.7500  0.7500



This record from the Alexandria database describes an optimized crystal structure of La12Pm5Sm2. The functional is PBE.

Values from the calculation:
The calculation puts the total energy at -4.778 eV per atom. For the polymorph energy (0 for the lowest one), the calculation gives 0 meV/atom. The calculation puts the formation energy at 1.86 kcal/mol of atoms. Its spin magnetization is 0.00 μB per atom.

Unit cell a=6.3651 b=10.9737 c=10.9642 alpha=66.09 beta=79.51 gamma=79.54
Sites, in units of the cell vectors:
La  0.0013  0.8831  0.8829
La  0.7294  0.5538  0.5537
La  0.2009  0.0636  0.5443
La  0.3791  0.8526  0.3577
La  0.2010  0.5445  0.0631
La  0.9987  0.1169  0.1171
La  0.3785  0.3578  0.8516
La  0.2706  0.4462  0.4463
La  0.7991  0.9364  0.4557
La  0.6215  0.6422  0.1484
La  0.7990  0.4555  0.9369
La  0.6209  0.1474  0.6423
Sm  0.0014  0.7675  0.2322
Sm  0.9986  0.2325  0.7678
Pm  0.1458  0.6804  0.6802
Pm  0.5000  0.0000  0.0000
Pm  0.5559  0.7861  0.7866
Pm  0.4441  0.2139  0.2134
Pm  0.8542  0.3196  0.3198



This record from the Alexandria database describes an optimized crystal structure of Nb8Al. The functional is PBE.

Values from the calculation:
The calculation puts the total energy at -9.439 eV per atom. The calculation puts the formation energy at -1.66 kcal/mol of atoms. Its spin magnetization is 0.00 μB per atom.

Unit cell a=4.6377 b=5.4534 c=7.4548 alpha=82.40 beta=71.88 gamma=64.84
Sites, in units of the cell vectors:
Nb  0.0011  0.3310  0.6668
Nb  0.6679  0.3310  0.3332
Nb  0.6719  0.6563  0.0000
Nb  0.6613  0.0000  0.6774
Nb  0.3387  0.0000  0.3226
Nb  0.3321  0.6690  0.6668
Nb  0.3281  0.3437  0.0000
Nb  0.9989  0.6690  0.3332
Al  0.0000  0.0000  0.0000



This record from the Alexandria database describes an optimized crystal structure of FeReRh. The functional is PBE.

Values from the calculation:
The calculation puts the total energy at -8.885 eV per atom. For the polymorph energy (0 for the lowest one), the calculation gives 539 meV/atom. The calculation puts the formation energy at 12.36 kcal/mol of atoms. Its spin magnetization is 0.00 μB per atom.

Unit cell a=4.0533 b=4.0533 c=4.0533 alpha=60.00 beta=60.00 gamma=60.00
Sites, in units of the cell vectors:
Fe  0.5000  0.5000  0.5000
Re  0.7500  0.7500  0.7500
Rh  0.0000  0.0000  0.0000